Here is a relaxed structure of CaSnPtO6 from Alexandria. Energies are from GGA-PBE.

Results
The calculated volume comes out at 13.88 Å³/atom. The formation energy from raw total energies is -1.338 eV/atom. The calculation puts the calculated total energy at -5.98 eV per atom. Its space group is P-31c.

Unit cell a=5.3841 b=5.3841 c=9.9509 alpha=90.00 beta=90.00 gamma=120.00
With the nearest neighbours (Å) after each atom.
Fractional positions:
Ca (0.0000, 0.0000, 0.0000)  6 O 2.40
Ca (0.0000, 0.0000, 0.5000)  6 O 2.40
Sn (0.3333, 0.6667, 0.2500)  6 O 2.10
Sn (0.6667, 0.3333, 0.7500)  6 O 2.10
Pt (0.3333, 0.6667, 0.7500)  6 O 1.99
Pt (0.6667, 0.3333, 0.2500)  6 O 1.99
O (0.0158, 0.3690, 0.6404)  1 Pt 1.99, 1 Sn 2.10
O (0.0158, 0.6467, 0.8596)  1 Pt 1.99, 1 Sn 2.10
O (0.3533, 0.3690, 0.8596)  1 Pt 1.99, 1 Sn 2.10
O (0.3533, 0.9842, 0.6404)  1 Pt 1.99, 1 Sn 2.10
O (0.3690, 0.0158, 0.1404)  1 Pt 1.99, 1 Sn 2.10
O (0.3690, 0.3533, 0.3596)  1 Pt 1.99, 1 Sn 2.10
O (0.6310, 0.6467, 0.6404)  1 Pt 1.99, 1 Sn 2.10
O (0.6310, 0.9842, 0.8596)  1 Pt 1.99, 1 Sn 2.10
O (0.6467, 0.0158, 0.3596)  1 Pt 1.99, 1 Sn 2.10
O (0.6467, 0.6310, 0.1404)  1 Pt 1.99, 1 Sn 2.10
O (0.9842, 0.3533, 0.1404)  1 Pt 1.99, 1 Sn 2.10
O (0.9842, 0.6310, 0.3596)  1 Pt 1.99, 1 Sn 2.10

***

Here is a relaxed structure of BePtW from Alexandria. Energies are from GGA-PBE.

Results
The calculated volume comes out at 13.38 Å³/atom. As for the calculated formation energy: -0.21 eV per atom. The calculation puts the calculated total energy at -7.79 eV per atom. Its space group is Cm. Its energy above the most stable polymorph in this dataset is 0.1272 eV per atom.

Unit cell a=4.7637 b=4.7637 c=7.1140 alpha=113.43 beta=113.43 gamma=33.13
With the nearest neighbours (Å) after each atom.
Fractional positions:
Be (0.0000, 0.0000, 0.0000)  2 Be 2.41, 2 Pt 2.44, 5 W 2.56-2.65
Be (0.6071, 0.6071, 0.8073)  2 Be 2.41, 5 Pt 2.43-2.61, 2 W 2.60
Pt (0.3013, 0.3013, 0.7300)  5 Be 2.44-2.61, 2 Pt 2.72
Pt (0.9597, 0.9597, 0.5037)  2 Be 2.43, 1 W 2.66, 2 Pt 2.72
W (0.3057, 0.3057, 0.1221)  5 Be 2.56-2.65, 3 W 2.72-2.79, 3 Pt 2.77-2.83
W (0.6394, 0.6394, 0.3422)  2 Be 2.61, 5 Pt 2.66-2.87, 3 W 2.72-2.79

***

Here is a relaxed structure of Co2Sb from Alexandria. Energies are from GGA-PBE.

Results
The calculated volume comes out at 14.51 Å³/atom. The formation energy from raw total energies is 0.176 eV/atom. The calculation puts the calculated total energy at -5.94 eV per atom. Its space group is C2/m.

Unit cell a=4.5902 b=4.5902 c=6.5263 alpha=111.69 beta=111.69 gamma=43.66
With the nearest neighbours (Å) after each atom.
Fractional positions:
Co (0.1641, 0.1641, 0.1367)  3 Sb 2.47-2.58, 4 Co 2.62-2.66
Co (0.1651, 0.1651, 0.5386)  6 Co 2.42-2.66, 2 Sb 2.65
Co (0.8349, 0.8349, 0.4614)  6 Co 2.42-2.66, 2 Sb 2.65
Co (0.8359, 0.8359, 0.8633)  3 Sb 2.47-2.58, 4 Co 2.62-2.66
Sb (0.4746, 0.4746, 0.2283)  5 Co 2.47-2.65
Sb (0.5254, 0.5254, 0.7717)  5 Co 2.47-2.65

***

Here is a relaxed structure of VInHgBi2 from Alexandria. Energies are from GGA-PBE.

Results
The calculated volume comes out at 30.04 Å³/atom. As for the calculated formation energy: 0.32 eV per atom. The calculation puts the calculated total energy at -3.66 eV per atom. Its space group is P4/mmm.

Unit cell a=5.2763 b=5.2763 c=5.3961 alpha=90.00 beta=90.00 gamma=90.00
With the nearest neighbours (Å) after each atom.
Fractional positions:
V (0.0000, 0.0000, 0.0000)  4 Bi 2.64, 2 Hg 2.70
In (0.5000, 0.5000, 0.5000)  4 Hg 3.73, 8 Bi 3.77
Hg (0.0000, 0.0000, 0.5000)  2 V 2.70
Bi (0.0000, 0.5000, 0.0000)  2 V 2.64
Bi (0.5000, 0.0000, 0.0000)  2 V 2.64

***

Here is a relaxed structure of CdSb2Cl from Alexandria. Energies are from GGA-PBE.

Results
The calculated volume comes out at 24.53 Å³/atom. The formation energy from raw total energies is 0.054 eV/atom. The calculation puts the calculated total energy at -2.70 eV per atom. Its space group is Fm-3m. Its energy above the most stable polymorph in this dataset is 0.3379 eV per atom.

Unit cell a=5.1771 b=5.1771 c=5.1771 alpha=60.00 beta=60.00 gamma=60.00
With the nearest neighbours (Å) after each atom.
Fractional positions:
Cd (0.0000, 0.0000, 0.0000)  8 Sb 3.17
Sb (0.2500, 0.2500, 0.2500)  4 Cd 3.17, 4 Cl 3.17
Sb (0.7500, 0.7500, 0.7500)  4 Cd 3.17, 4 Cl 3.17
Cl (0.5000, 0.5000, 0.5000)  8 Sb 3.17

***

Here is a relaxed structure of CeCdGa2 from Alexandria. Energies are from GGA-PBE.

Results
The calculated volume comes out at 22.46 Å³/atom. As for the calculated formation energy: -0.34 eV per atom. The calculation puts the calculated total energy at -3.57 eV per atom. Its space group is R-3m. Its energy above the most stable polymorph in this dataset is 0.0188 eV per atom.

Unit cell a=5.6788 b=5.6788 c=5.6788 alpha=47.09 beta=47.09 gamma=47.09
With the nearest neighbours (Å) after each atom.
Fractional positions:
Ce (0.0000, 0.0000, 0.0000)  6 Ga 3.06
Cd (0.5000, 0.5000, 0.5000)  6 Ga 2.79
Ga (0.2293, 0.2293, 0.2293)  3 Cd 2.79, 3 Ce 3.06
Ga (0.7707, 0.7707, 0.7707)  3 Cd 2.79, 3 Ce 3.06

***

Here is a relaxed structure of CrPRh2 from Alexandria. Energies are from GGA-PBE.

Results
The calculated volume comes out at 13.40 Å³/atom. As for the calculated formation energy: -0.22 eV per atom. The calculation puts the calculated total energy at -7.65 eV per atom. Its space group is P4/mmm.

Unit cell a=3.8625 b=3.8625 c=3.5930 alpha=90.00 beta=90.00 gamma=90.00
With the nearest neighbours (Å) after each atom.
Fractional positions:
Cr (0.0000, 0.0000, 0.0000)  8 Rh 2.64, 4 P 2.73
P (0.5000, 0.5000, 0.0000)  8 Rh 2.64, 4 Cr 2.73
Rh (0.0000, 0.5000, 0.5000)  4 Cr 2.64, 4 P 2.64, 4 Rh 2.73
Rh (0.5000, 0.0000, 0.5000)  4 Cr 2.64, 4 P 2.64, 4 Rh 2.73

***

Here is a relaxed structure of ScAgPdF6 from Alexandria. Energies are from GGA-PBE.

Results
The calculated volume comes out at 15.81 Å³/atom. The formation energy from raw total energies is -2.310 eV/atom. The calculation puts the calculated total energy at -5.15 eV per atom. Its space group is P-31c.

Unit cell a=5.6836 b=5.6836 c=10.1736 alpha=90.00 beta=90.00 gamma=120.00
With the nearest neighbours (Å) after each atom.
Fractional positions:
Sc (0.3333, 0.6667, 0.2500)  6 F 2.05
Sc (0.6667, 0.3333, 0.7500)  6 F 2.05
Ag (0.0000, 0.0000, 0.0000)  6 F 2.50
Ag (0.0000, 0.0000, 0.5000)  6 F 2.50
Pd (0.3333, 0.6667, 0.7500)  6 F 2.22
Pd (0.6667, 0.3333, 0.2500)  6 F 2.22
F (0.0222, 0.3717, 0.1409)  1 Sc 2.05, 1 Pd 2.22
F (0.0222, 0.6504, 0.3591)  1 Sc 2.05, 1 Pd 2.22
F (0.3496, 0.3717, 0.3591)  1 Sc 2.05, 1 Pd 2.22
F (0.3496, 0.9778, 0.1409)  1 Sc 2.05, 1 Pd 2.22
F (0.3717, 0.0222, 0.6409)  1 Sc 2.05, 1 Pd 2.22
F (0.3717, 0.3496, 0.8591)  1 Sc 2.05, 1 Pd 2.22
F (0.6283, 0.6504, 0.1409)  1 Sc 2.05, 1 Pd 2.22
F (0.6283, 0.9778, 0.3591)  1 Sc 2.05, 1 Pd 2.22
F (0.6504, 0.0222, 0.8591)  1 Sc 2.05, 1 Pd 2.22
F (0.6504, 0.6283, 0.6409)  1 Sc 2.05, 1 Pd 2.22
F (0.9778, 0.3496, 0.6409)  1 Sc 2.05, 1 Pd 2.22
F (0.9778, 0.6283, 0.8591)  1 Sc 2.05, 1 Pd 2.22